Here is a relaxed structure of Sm12Ho2Tm5 from Alexandria. Energies are from PBE.

Calculated values
Energy above the most stable polymorph in this dataset   0.34 eV/f.u.
Space-group type   C2/m
Formation energy   0.12 eV/atom

Cell: 9.224 9.146 8.627 Å, 91.23 90.00 120.28°
Fractional coordinates of all 19 atoms:
1 Sm 0.665 0.693 0.762
2 Sm 0.177 0.745 0.328
3 Sm 0.087 0.174 0.884
4 Sm 0.439 0.878 0.660
5 Sm 0.913 0.826 0.116
6 Sm 0.335 0.307 0.238
7 Sm 0.971 0.307 0.238
8 Sm 0.561 0.122 0.340
9 Sm 0.432 0.255 0.672
10 Sm 0.823 0.255 0.672
11 Sm 0.568 0.745 0.328
12 Sm 0.029 0.693 0.762
13 Tm 0.000 0.000 0.500
14 Tm 0.300 0.601 0.979
15 Tm 0.700 0.399 0.021
16 Tm 0.769 0.538 0.431
17 Tm 0.231 0.462 0.569
18 Ho 0.673 0.000 0.000
19 Ho 0.327 0.000 0.000

=====

Here is a relaxed structure of Sm4HoTm10 from Alexandria. Energies are from PBE.

Calculated values
Space-group type   I4/mmm
Formation energy   0.28 eV/atom

Cell: 7.858 8.808 8.808 Å, 78.52 63.51 63.51°
Fractional coordinates of all 15 atoms:
1 Sm 0.771 0.000 0.457
2 Sm 0.772 0.457 0.000
3 Sm 0.229 0.000 0.543
4 Sm 0.228 0.543 0.000
5 Tm 0.085 0.208 0.208
6 Tm 0.915 0.792 0.792
7 Tm 0.294 0.792 0.208
8 Tm 0.498 0.208 0.208
9 Tm 0.294 0.208 0.792
10 Tm 0.706 0.208 0.792
11 Tm 0.502 0.792 0.792
12 Tm 0.706 0.792 0.208
13 Tm 0.250 0.500 0.500
14 Tm 0.750 0.500 0.500
15 Ho 0.000 0.000 0.000

=====

Here is a relaxed structure of Sm4Ho19Tm6 from Alexandria. Energies are from PBE.

Calculated values
Space-group type   I23
Formation energy   0.40 eV/atom

Cell: 10.746 10.746 10.746 Å, 109.47 109.47 109.47°
Fractional coordinates of all 29 atoms:
1 Tm 0.373 0.500 0.873
2 Tm 0.873 0.373 0.500
3 Tm 0.127 0.627 0.500
4 Tm 0.500 0.127 0.627
5 Tm 0.500 0.873 0.373
6 Tm 0.627 0.500 0.127
7 Sm 0.643 0.000 0.000
8 Sm 0.000 0.643 0.000
9 Sm 0.357 0.357 0.357
10 Sm 0.000 0.000 0.643
11 Ho 0.213 0.541 0.203
12 Ho 0.989 0.328 0.787
13 Ho 0.736 0.000 0.736
14 Ho 0.328 0.787 0.989
15 Ho 0.736 0.736 0.000
16 Ho 0.000 0.000 0.000
17 Ho 0.000 0.736 0.736
18 Ho 0.339 0.011 0.797
19 Ho 0.797 0.339 0.011
20 Ho 0.264 0.264 0.000
21 Ho 0.541 0.203 0.213
22 Ho 0.203 0.213 0.541
23 Ho 0.672 0.661 0.459
24 Ho 0.459 0.672 0.661
25 Ho 0.264 0.000 0.264
26 Ho 0.787 0.989 0.328
27 Ho 0.000 0.264 0.264
28 Ho 0.661 0.459 0.672
29 Ho 0.011 0.797 0.339

=====

Here is a relaxed structure of Sm5Ho2Tm2 from Alexandria. Energies are from PBE.

Calculated values
Energy above the most stable polymorph in this dataset   1.44 eV/f.u.
Space-group type   Ima2
Formation energy   0.18 eV/atom

Cell: 12.786 6.154 10.330 Å, 107.33 128.24 90.00°
Fractional coordinates of all 18 atoms:
1 Tm 0.184 0.584 0.270
2 Tm 0.816 0.313 0.730
3 Tm 0.414 0.813 0.730
4 Tm 0.586 0.084 0.270
5 Sm 0.928 0.293 0.500
6 Sm 0.152 0.244 0.903
7 Sm 0.252 0.744 0.903
8 Sm 0.542 0.310 0.712
9 Sm 0.458 0.598 0.288
10 Sm 0.330 0.098 0.288
11 Sm 0.670 0.810 0.712
12 Sm 0.072 0.793 0.500
13 Sm 0.748 0.841 0.097
14 Sm 0.848 0.341 0.097
15 Ho 0.805 0.766 0.500
16 Ho 0.195 0.266 0.500
17 Ho 0.500 0.387 0.000
18 Ho 0.000 0.887 0.000

=====

Here is a relaxed structure of Sm4Ho4Tm from Alexandria. Energies are from PBE.

Calculated values
Energy above the most stable polymorph in this dataset   0.00 eV/f.u.
Space-group type   I4/mmm
Formation energy   0.02 eV/atom

Cell: 5.038 7.978 7.978 Å, 84.28 71.60 71.60°
Fractional coordinates of all 9 atoms:
1 Ho 0.334 0.332 0.000
2 Ho 0.334 0.000 0.332
3 Ho 0.666 0.000 0.668
4 Ho 0.666 0.668 0.000
5 Sm 0.000 0.331 0.669
6 Sm 0.331 0.669 0.669
7 Sm 0.000 0.669 0.331
8 Sm 0.669 0.331 0.331
9 Tm 0.000 0.000 0.000

=====

Here is a relaxed structure of Sm2Ho4Tm7 from Alexandria. Energies are from PBE.

Calculated values
Space-group type   P-1
Formation energy   0.19 eV/atom

Cell: 8.662 11.299 8.662 Å, 69.31 111.50 147.07°
Fractional coordinates of all 13 atoms:
1 Tm 0.006 0.614 0.605
2 Tm 0.755 0.162 0.769
3 Tm 0.317 0.311 0.642
4 Tm 0.994 0.386 0.395
5 Tm 0.000 0.000 0.000
6 Tm 0.245 0.838 0.231
7 Tm 0.683 0.689 0.358
8 Ho 0.069 0.855 0.780
9 Ho 0.931 0.145 0.220
10 Ho 0.394 0.164 0.409
11 Ho 0.606 0.836 0.591
12 Sm 0.332 0.685 0.012
13 Sm 0.668 0.315 0.988

=====

Here is a relaxed structure of Sm2Ho5Tm4 from Alexandria. Energies are from PBE.

Calculated values
Energy above the most stable polymorph in this dataset   0.64 eV/f.u.
Space-group type   Immm
Formation energy   0.21 eV/atom

Cell: 3.467 8.931 12.495 Å, 110.94 97.97 90.00°
Fractional coordinates of all 11 atoms:
1 Ho 0.858 0.662 0.716
2 Ho 0.142 0.338 0.284
3 Ho 0.858 0.054 0.716
4 Ho 0.500 0.000 0.000
5 Ho 0.142 0.946 0.284
6 Sm 0.732 0.732 0.464
7 Sm 0.268 0.268 0.536
8 Tm 0.403 0.403 0.806
9 Tm 0.000 0.312 0.000
10 Tm 0.000 0.688 0.000
11 Tm 0.597 0.597 0.194

=====

Here is a relaxed structure of Sm2HoTm9 from Alexandria. Energies are from PBE.

Calculated values
Energy above the most stable polymorph in this dataset   0.00 eV/f.u.
Space-group type   P4/mmm
Formation energy   0.03 eV/atom

Cell: 4.969 4.969 14.906 Å, 90.00 90.00 90.00°
Fractional coordinates of all 12 atoms:
1 Tm 0.000 0.500 0.500
2 Tm 0.500 0.500 0.000
3 Tm 0.500 0.500 0.332
4 Tm 0.000 0.500 0.165
5 Tm 0.500 0.500 0.668
6 Tm 0.000 0.500 0.835
7 Tm 0.500 0.000 0.835
8 Tm 0.500 0.000 0.165
9 Tm 0.500 0.000 0.500
10 Sm 0.000 0.000 0.333
11 Sm 0.000 0.000 0.667
12 Ho 0.000 0.000 0.000

=====

Here is a relaxed structure of Sm15Ho4Tm from Alexandria. Energies are from PBE.

Calculated values
Space-group type   P4/mmm
Formation energy   0.02 eV/atom

Cell: 5.094 5.094 25.403 Å, 90.00 90.00 90.00°
Fractional coordinates of all 20 atoms:
1 Sm 0.000 0.500 0.900
2 Sm 0.500 0.000 0.300
3 Sm 0.500 0.000 0.500
4 Sm 0.000 0.500 0.500
5 Sm 0.500 0.000 0.900
6 Sm 0.000 0.500 0.100
7 Sm 0.500 0.000 0.700
8 Sm 0.000 0.500 0.700
9 Sm 0.500 0.500 0.800
10 Sm 0.500 0.500 0.600
11 Sm 0.000 0.500 0.300
12 Sm 0.500 0.500 0.400
13 Sm 0.500 0.500 0.200
14 Sm 0.500 0.500 0.000
15 Sm 0.500 0.000 0.100
16 Ho 0.000 0.000 0.200
17 Ho 0.000 0.000 0.600
18 Ho 0.000 0.000 0.800
19 Ho 0.000 0.000 0.400
20 Tm 0.000 0.000 0.000

=====

Here is a relaxed structure of Sm8Ho4Tm from Alexandria. Energies are from PBE.

Calculated values
Space-group type   R-3m
Formation energy   0.48 eV/atom

Cell: 11.047 11.047 7.805 Å, 90.00 135.05 120.00°
Fractional coordinates of all 13 atoms:
1 Sm 0.999 0.758 0.240
2 Sm 0.518 0.759 0.277
3 Sm 0.482 0.241 0.723
4 Sm 0.482 0.241 0.240
5 Sm 0.001 0.759 0.760
6 Sm 0.999 0.241 0.240
7 Sm 0.001 0.242 0.760
8 Sm 0.518 0.759 0.760
9 Ho 0.000 0.000 0.000
10 Ho 0.000 0.500 0.000
11 Ho 0.500 0.500 0.000
12 Ho 0.500 0.000 0.000
13 Tm 0.000 0.500 0.500

=====

Here is a relaxed structure of Sm19Ho6Tm4 from Alexandria. Energies are from PBE.

Calculated values
Space-group type   I23
Formation energy   0.37 eV/atom

Cell: 10.870 10.870 10.870 Å, 109.47 109.47 109.47°
Fractional coordinates of all 29 atoms:
1 Sm 0.260 0.260 0.000
2 Sm 0.000 0.260 0.260
3 Sm 0.325 0.783 0.981
4 Sm 0.783 0.981 0.325
5 Sm 0.000 0.000 0.000
6 Sm 0.019 0.801 0.343
7 Sm 0.199 0.217 0.542
8 Sm 0.657 0.458 0.675
9 Sm 0.801 0.343 0.019
10 Sm 0.675 0.657 0.458
11 Sm 0.343 0.019 0.801
12 Sm 0.217 0.542 0.199
13 Sm 0.000 0.740 0.740
14 Sm 0.740 0.740 0.000
15 Sm 0.458 0.675 0.657
16 Sm 0.260 0.000 0.260
17 Sm 0.981 0.325 0.783
18 Sm 0.740 0.000 0.740
19 Sm 0.542 0.199 0.217
20 Ho 0.500 0.126 0.626
21 Ho 0.500 0.874 0.374
22 Ho 0.126 0.626 0.500
23 Ho 0.874 0.374 0.500
24 Ho 0.374 0.500 0.874
25 Ho 0.626 0.500 0.126
26 Tm 0.000 0.641 0.000
27 Tm 0.359 0.359 0.359
28 Tm 0.000 0.000 0.641
29 Tm 0.641 0.000 0.000

=====

Here is a relaxed structure of SmHo2Tm2 from Alexandria. Energies are from PBE.

Calculated values
Energy above the most stable polymorph in this dataset   0.19 eV/f.u.
Space-group type   Amm2
Formation energy   0.12 eV/atom

Cell: 3.486 5.661 8.590 Å, 109.26 90.00 90.00°
Fractional coordinates of all 5 atoms:
1 Sm 0.200 0.018 0.037
2 Tm 0.700 0.210 0.421
3 Tm 0.200 0.780 0.560
4 Ho 0.700 0.591 0.183
5 Ho 0.200 0.399 0.799

=====

Here is a relaxed structure of Sm2Ho7Tm from Alexandria. Energies are from PBE.

Calculated values
Energy above the most stable polymorph in this dataset   1.38 eV/f.u.
Space-group type   Cmmm
Formation energy   0.16 eV/atom

Cell: 3.496 14.673 14.673 Å, 154.61 90.00 90.00°
Fractional coordinates of all 10 atoms:
1 Sm 0.500 0.292 0.708
2 Sm 0.500 0.708 0.292
3 Ho 0.500 0.852 0.656
4 Ho 0.500 0.148 0.344
5 Ho 0.000 0.815 0.185
6 Ho 0.500 0.344 0.148
7 Ho 0.500 0.656 0.852
8 Ho 0.500 0.500 0.500
9 Ho 0.000 0.185 0.815
10 Tm 0.000 0.000 0.000

=====

Here is a relaxed structure of SmHo5Tm from Alexandria. Energies are from PBE.

Calculated values
Energy above the most stable polymorph in this dataset   6.55 eV/f.u.
Space-group type   Imm2
Formation energy   1.00 eV/atom

Cell: 6.122 7.976 7.701 Å, 121.19 113.42 90.00°
Fractional coordinates of all 7 atoms:
1 Ho 0.433 0.822 0.000
2 Ho 0.675 0.744 0.489
3 Ho 0.186 0.256 0.511
4 Ho 0.170 0.500 0.000
5 Ho 0.433 0.178 0.000
6 Tm 0.935 0.000 0.000
7 Sm 0.697 0.500 0.000

=====

Here is a relaxed structure of Sm8HoTm2 from Alexandria. Energies are from PBE.

Calculated values
Energy above the most stable polymorph in this dataset   4.64 eV/f.u.
Space-group type   C2/m
Formation energy   0.44 eV/atom

Cell: 5.815 8.326 8.326 Å, 88.50 82.25 82.25°
Fractional coordinates of all 11 atoms:
1 Sm 0.769 0.134 0.631
2 Sm 0.715 0.572 0.572
3 Sm 0.285 0.428 0.428
4 Sm 0.231 0.369 0.866
5 Sm 0.231 0.866 0.369
6 Sm 0.090 0.733 0.733
7 Sm 0.769 0.631 0.134
8 Sm 0.910 0.267 0.267
9 Tm 0.481 0.139 0.139
10 Tm 0.519 0.861 0.861
11 Ho 0.000 0.000 0.000

=====

Here is a relaxed structure of SmHo4Tm15 from Alexandria. Energies are from PBE.

Calculated values
Space-group type   P4/mmm
Formation energy   0.03 eV/atom

Cell: 4.949 4.949 24.748 Å, 90.00 90.00 90.00°
Fractional coordinates of all 20 atoms:
1 Tm 0.000 0.500 0.101
2 Tm 0.500 0.500 0.799
3 Tm 0.000 0.500 0.500
4 Tm 0.500 0.000 0.500
5 Tm 0.500 0.000 0.899
6 Tm 0.500 0.500 0.000
7 Tm 0.000 0.500 0.700
8 Tm 0.500 0.000 0.700
9 Tm 0.500 0.500 0.201
10 Tm 0.500 0.500 0.600
11 Tm 0.000 0.500 0.899
12 Tm 0.500 0.500 0.400
13 Tm 0.500 0.000 0.101
14 Tm 0.000 0.500 0.300
15 Tm 0.500 0.000 0.300
16 Ho 0.000 0.000 0.799
17 Ho 0.000 0.000 0.600
18 Ho 0.000 0.000 0.201
19 Ho 0.000 0.000 0.400
20 Sm 0.000 0.000 0.000

=====

Here is a relaxed structure of Sm5HoTm2 from Alexandria. Energies are from PBE.

Calculated values
Space-group type   Pbam
Formation energy   0.02 eV/atom

Cell: 5.057 7.161 14.321 Å, 90.00 90.00 90.00°
Fractional coordinates of all 16 atoms:
1 Tm 0.500 0.250 0.124
2 Tm 0.500 0.250 0.624
3 Tm 0.500 0.750 0.376
4 Tm 0.500 0.750 0.876
5 Sm 0.000 0.000 0.000
6 Sm 0.500 0.249 0.376
7 Sm 0.000 0.500 0.751
8 Sm 0.000 0.500 0.249
9 Sm 0.000 0.000 0.749
10 Sm 0.000 0.500 0.500
11 Sm 0.500 0.749 0.124
12 Sm 0.500 0.251 0.876
13 Sm 0.000 0.000 0.251
14 Sm 0.500 0.751 0.624
15 Ho 0.000 0.000 0.500
16 Ho 0.000 0.500 0.000

=====

Here is a relaxed structure of Sm2Ho9Tm3 from Alexandria. Energies are from PBE.

Calculated values
Space-group type   Cm
Formation energy   0.12 eV/atom

Cell: 5.587 12.478 12.477 Å, 49.68 47.88 47.88°
Fractional coordinates of all 14 atoms:
1 Ho 0.738 0.739 0.411
2 Ho 0.906 0.526 0.846
3 Ho 0.297 0.056 0.722
4 Ho 0.738 0.411 0.739
5 Ho 0.533 0.477 0.477
6 Ho 0.297 0.722 0.056
7 Ho 0.109 0.474 0.096
8 Ho 0.906 0.846 0.526
9 Ho 0.109 0.096 0.474
10 Tm 0.103 0.787 0.787
11 Tm 0.669 0.099 0.099
12 Tm 0.732 0.244 0.244
13 Sm 0.431 0.854 0.169
14 Sm 0.431 0.169 0.854

=====

Per-record total energy, eV/atom: -4.51 -4.27 -4.18 -4.45 -4.61 -4.35 -4.36 -4.49 -4.66 -4.18 -4.28 -4.44 -4.44 -3.58 -4.22 -4.48 -4.62 -4.45